# 1
Entry from Alexandria: a relaxed AgI3F crystal (PBEsol).

abc: 5.465 5.465 5.465
angles: 90.00 90.00 90.00
Space group Pm-3m (No. 221)
Symmetry-distinct sites (fractional):
Ag1 0.000 0.000 0.000 (multiplicity 1)
I1 0.000 0.000 0.500 (multiplicity 3)
F1 0.500 0.500 0.500 (multiplicity 1)

Computed properties:
DOS at the Fermi energy	11.13	states/eV/cell

---

# 2
Entry from Alexandria: a relaxed Ag2PIF crystal (PBEsol).

abc: 5.282 5.282 4.371
angles: 90.00 90.00 90.00
Space group P4/mmm (No. 123)
Symmetry-distinct sites (fractional):
Ag1 0.000 0.500 0.000 (multiplicity 2)
P1 0.000 0.000 0.500 (multiplicity 1)
I1 0.500 0.500 0.000 (multiplicity 1)
F1 0.500 0.500 0.500 (multiplicity 1)

Computed properties:
DOS at the Fermi energy	3.10	states/eV/cell

---

# 3
Entry from Alexandria: a relaxed AgSb2IF crystal (PBEsol).

abc: 5.238 5.238 5.490
angles: 90.00 90.00 90.00
Space group P4/mmm (No. 123)
Symmetry-distinct sites (fractional):
Ag1 0.000 0.000 0.000 (multiplicity 1)
Sb1 0.000 0.500 0.000 (multiplicity 2)
I1 0.000 0.000 0.500 (multiplicity 1)
F1 0.500 0.500 0.500 (multiplicity 1)

Computed properties:
DOS at the Fermi energy	2.45	states/eV/cell

---

# 4
Entry from Alexandria: a relaxed Tl2AgIF crystal (PBEsol).

abc: 6.511 6.511 5.342
angles: 90.00 90.00 90.00
Space group P4/mmm (No. 123)
Symmetry-distinct sites (fractional):
Tl1 0.000 0.500 0.000 (multiplicity 2)
Ag1 0.000 0.000 0.500 (multiplicity 1)
I1 0.000 0.000 0.000 (multiplicity 1)
F1 0.500 0.500 0.500 (multiplicity 1)

Computed properties:
DOS at the Fermi energy	2.80	states/eV/cell

---

# 5
Entry from Alexandria: a relaxed InAgF2 crystal (PBEsol).

abc: 6.194 6.194 6.194
angles: 90.00 90.00 90.00
Space group Fm-3m (No. 225)
Symmetry-distinct sites (fractional):
In1 0.000 0.000 0.000 (multiplicity 4)
Ag1 0.000 0.000 0.500 (multiplicity 4)
F1 0.250 0.250 0.250 (multiplicity 8)

---

# 6
Entry from Alexandria: a relaxed K2InAgF6 crystal (PBEsol).

abc: 8.831 8.831 8.831
angles: 90.00 90.00 90.00
Space group Fm-3m (No. 225)
Symmetry-distinct sites (fractional):
K1 0.250 0.250 0.250 (multiplicity 8)
In1 0.000 0.000 0.000 (multiplicity 4)
Ag1 0.000 0.000 0.500 (multiplicity 4)
F1 0.000 0.000 0.235 (multiplicity 24)

---

# 7
Entry from Alexandria: a relaxed Ag3IrF crystal (PBEsol).

abc: 4.965 4.965 4.965
angles: 90.00 90.00 90.00
Space group Pm-3m (No. 221)
Symmetry-distinct sites (fractional):
Ag1 0.000 0.000 0.500 (multiplicity 3)
Ir1 0.000 0.000 0.000 (multiplicity 1)
F1 0.500 0.500 0.500 (multiplicity 1)

Computed properties:
DOS at the Fermi energy	6.19	states/eV/cell

---

# 8
Entry from Alexandria: a relaxed AgIr3F crystal (PBEsol).

abc: 4.780 4.780 4.780
angles: 90.00 90.00 90.00
Space group Pm-3m (No. 221)
Symmetry-distinct sites (fractional):
Ag1 0.000 0.000 0.000 (multiplicity 1)
Ir1 0.000 0.000 0.500 (multiplicity 3)
F1 0.500 0.500 0.500 (multiplicity 1)

Computed properties:
DOS at the Fermi energy	12.09	states/eV/cell

---

# 9
Entry from Alexandria: a relaxed AgIrF7 crystal (PBEsol).

abc: 7.715 7.147 10.286
angles: 90.00 90.00 90.00
Space group Pnma (No. 62)
Symmetry-distinct sites (fractional):
Ag1 0.147 0.250 0.242 (multiplicity 4)
Ir1 0.189 0.750 0.057 (multiplicity 4)
F1 0.035 0.250 0.018 (multiplicity 4)
F2 0.091 0.250 0.630 (multiplicity 4)
F3 0.100 0.750 0.691 (multiplicity 4)
F4 0.113 0.567 0.179 (multiplicity 8)
F5 0.240 0.069 0.432 (multiplicity 8)

Computed properties:
DOS at the Fermi energy	19.95	states/eV/cell

---

# 10
Entry from Alexandria: a relaxed AgIrF3 crystal (PBEsol).

abc: 4.152 4.152 4.152
angles: 90.00 90.00 90.00
Space group Pm-3m (No. 221)
Symmetry-distinct sites (fractional):
Ag1 0.000 0.000 0.000 (multiplicity 1)
Ir1 0.500 0.500 0.500 (multiplicity 1)
F1 0.000 0.500 0.500 (multiplicity 3)

Computed properties:
DOS at the Fermi energy	3.68	states/eV/cell

---

# 11
Entry from Alexandria: a relaxed K2AgIrF6 crystal (PBEsol).

abc: 8.633 8.633 8.633
angles: 90.00 90.00 90.00
Space group Fm-3m (No. 225)
Symmetry-distinct sites (fractional):
K1 0.250 0.250 0.250 (multiplicity 8)
Ag1 0.000 0.000 0.000 (multiplicity 4)
Ir1 0.000 0.000 0.500 (multiplicity 4)
F1 0.000 0.000 0.267 (multiplicity 24)

---

# 12
Entry from Alexandria: a relaxed Rb2AgIrF6 crystal (PBEsol).

abc: 8.696 8.696 8.696
angles: 90.00 90.00 90.00
Space group Fm-3m (No. 225)
Symmetry-distinct sites (fractional):
Rb1 0.250 0.250 0.250 (multiplicity 8)
Ag1 0.000 0.000 0.000 (multiplicity 4)
Ir1 0.000 0.000 0.500 (multiplicity 4)
F1 0.000 0.000 0.268 (multiplicity 24)

---

# 13
Entry from Alexandria: a relaxed ScAgIr2F crystal (PBEsol).

abc: 4.899 4.899 3.843
angles: 90.00 90.00 90.00
Space group P4/mmm (No. 123)
Symmetry-distinct sites (fractional):
Sc1 0.000 0.000 0.000 (multiplicity 1)
Ag1 0.500 0.500 0.500 (multiplicity 1)
Ir1 0.000 0.500 0.500 (multiplicity 2)
F1 0.500 0.500 0.000 (multiplicity 1)

Computed properties:
DOS at the Fermi energy	6.94	states/eV/cell

---

# 14
Entry from Alexandria: a relaxed K2AgF4 crystal (PBEsol).

abc: 3.747 10.110 6.372
angles: 90.00 91.82 90.00
Space group P2_1/c (No. 14)
Symmetry-distinct sites (fractional):
K1 0.021 0.182 0.415 (multiplicity 4)
Ag1 0.500 0.000 0.000 (multiplicity 2)
F1 0.098 0.053 0.777 (multiplicity 4)
F2 0.483 0.691 0.376 (multiplicity 4)

---

# 15
Entry from Alexandria: a relaxed K3AgF crystal (PBEsol).

abc: 5.306 5.306 5.306
angles: 90.00 90.00 90.00
Space group Pm-3m (No. 221)
Symmetry-distinct sites (fractional):
K1 0.000 0.000 0.500 (multiplicity 3)
Ag1 0.500 0.500 0.500 (multiplicity 1)
F1 0.000 0.000 0.000 (multiplicity 1)

Computed properties:
DOS at the Fermi energy	2.38	states/eV/cell

---

# 16
Entry from Alexandria: a relaxed KAgOF2 crystal (PBEsol).

abc: 4.682 4.682 4.653
angles: 90.00 90.00 90.00
Space group P4/mmm (No. 123)
Symmetry-distinct sites (fractional):
K1 0.000 0.000 0.000 (multiplicity 1)
Ag1 0.500 0.500 0.500 (multiplicity 1)
O1 0.000 0.000 0.500 (multiplicity 1)
F1 0.000 0.500 0.000 (multiplicity 2)

Computed properties:
DOS at the Fermi energy	7.72	states/eV/cell

---

# 17
Entry from Alexandria: a relaxed K2AgPF crystal (PBEsol).

abc: 6.054 6.054 4.032
angles: 90.00 90.00 90.00
Space group P4/mmm (No. 123)
Symmetry-distinct sites (fractional):
K1 0.000 0.500 0.000 (multiplicity 2)
Ag1 0.000 0.000 0.000 (multiplicity 1)
P1 0.500 0.500 0.500 (multiplicity 1)
F1 0.000 0.000 0.500 (multiplicity 1)

Computed properties:
DOS at the Fermi energy	4.17	states/eV/cell

---

# 18
Entry from Alexandria: a relaxed K2AgPdF6 crystal (PBEsol).

abc: 8.557 8.557 8.557
angles: 90.00 90.00 90.00
Space group Fm-3m (No. 225)
Symmetry-distinct sites (fractional):
K1 0.250 0.250 0.250 (multiplicity 8)
Ag1 0.000 0.000 0.000 (multiplicity 4)
Pd1 0.000 0.000 0.500 (multiplicity 4)
F1 0.000 0.000 0.260 (multiplicity 24)

Computed properties:
DOS at the Fermi energy	8.44	states/eV/cell

---

# 19
Entry from Alexandria: a relaxed K2AgRhF6 crystal (PBEsol).

abc: 8.546 8.546 8.546
angles: 90.00 90.00 90.00
Space group Fm-3m (No. 225)
Symmetry-distinct sites (fractional):
K1 0.250 0.250 0.250 (multiplicity 8)
Ag1 0.000 0.000 0.000 (multiplicity 4)
Rh1 0.000 0.000 0.500 (multiplicity 4)
F1 0.000 0.000 0.268 (multiplicity 24)

---

# 20
Entry from Alexandria: a relaxed LaAg3F crystal (PBEsol).

abc: 4.713 4.713 4.713
angles: 90.00 90.00 90.00
Space group Pm-3m (No. 221)
Symmetry-distinct sites (fractional):
La1 0.000 0.000 0.000 (multiplicity 1)
Ag1 0.000 0.500 0.500 (multiplicity 3)
F1 0.500 0.500 0.500 (multiplicity 1)

Computed properties:
DOS at the Fermi energy	7.12	states/eV/cell

---

Number 1: E -9.654 eV for the cell shown, V 32.636 A^3/atom. Number 2: E -13.032 eV for the cell shown, V 24.391 A^3/atom. Number 3: E -14.331 eV for the cell shown, V 30.128 A^3/atom. Number 4: E -11.870 eV for the cell shown, V 45.299 A^3/atom. Number 5: E -59.607 eV for the cell shown, V 14.852 A^3/atom. Number 6: E -173.252 eV for the cell shown, V 17.219 A^3/atom. Number 7: E -16.021 eV for the cell shown, V 24.472 A^3/atom. Number 8: E -20.870 eV for the cell shown, V 21.842 A^3/atom. Number 9: E -155.355 eV for the cell shown, V 15.754 A^3/atom. Number 10: E -21.283 eV for the cell shown, V 14.318 A^3/atom. Number 11: E -181.633 eV for the cell shown, V 16.085 A^3/atom. Number 12: E -181.742 eV for the cell shown, V 16.437 A^3/atom. Number 13: E -27.437 eV for the cell shown, V 18.447 A^3/atom. Number 14: E -55.934 eV for the cell shown, V 17.231 A^3/atom. Number 15: E -13.518 eV for the cell shown, V 29.872 A^3/atom. Number 16: E -14.788 eV for the cell shown, V 20.398 A^3/atom. Number 17: E -14.158 eV for the cell shown, V 29.559 A^3/atom. Number 18: E -167.934 eV for the cell shown, V 15.662 A^3/atom. Number 19: E -180.113 eV for the cell shown, V 15.605 A^3/atom. Number 20: E -17.554 eV for the cell shown, V 20.938 A^3/atom.